Record 1
Below is crystalline K3Ca2PtO6 at its relaxed geometry, with properties calculated at the PBE level.

Calculated values
Space group   No. 12
Total moment   1.081 μB per formula unit

POSCAR file:
```
K3Ca2PtO6
1.0
-2.5940 -0.1741 -5.2769
-1.2884 -4.0754 4.0418
-3.2343 4.9598 2.5296
K Ca Pt O
3 2 1 6
direct
0.1669 0.8331 0.5000 K
0.8331 0.1669 0.5000 K
0.5000 0.5000 0.5000 K
0.3334 0.6666 0.0000 Ca
0.6666 0.3334 0.0000 Ca
0.0000 0.0000 0.0000 Pt
0.9374 0.6432 0.8133 O
0.7686 0.7686 0.1866 O
0.0626 0.3568 0.1867 O
0.6432 0.9374 0.8133 O
0.2314 0.2314 0.8134 O
0.3568 0.0626 0.1867 O
```

---

Record 2
Below is crystalline K4CaPu3O12 at its relaxed geometry, with properties calculated at the PBE level.

Calculated values
Space group   No. 229
Total moment   6.000 μB per formula unit

POSCAR file:
```
K4CaPu3O12
1.0
7.4374 0.0000 0.0000
-2.4791 7.0121 0.0000
-2.4791 -3.5060 6.0726
K Ca Pu O
4 1 3 12
direct
0.5000 0.5000 0.5000 K
0.0000 0.0000 0.5000 K
0.5000 0.0000 0.0000 K
0.0000 0.5000 0.0000 K
0.0000 0.0000 0.0000 Ca
0.5000 0.0000 0.5000 Pu
0.5000 0.5000 0.0000 Pu
0.0000 0.5000 0.5000 Pu
0.2500 0.5000 0.7500 O
0.7258 0.0000 0.7258 O
0.2742 0.0000 0.2742 O
0.7500 0.5000 0.2500 O
0.7258 0.7258 0.0000 O
0.2742 0.2742 0.0000 O
0.7500 0.2500 0.5000 O
0.2500 0.7500 0.5000 O
0.5000 0.2500 0.7500 O
0.0000 0.7258 0.7258 O
0.5000 0.7500 0.2500 O
0.0000 0.2742 0.2742 O
```

---

Number 1: total energy -63.4 eV/cell, calculated volume 184 Å³/cell. Number 2: total energy -159.0 eV/cell, calculated volume 317 Å³/cell.